1.
This record from Alexandria via LeMat-Bulk describes an optimized crystal structure of YErGe. The functional is GGA-PBE.

a = 4.8634 Å, b = 4.8634 Å, c = 4.8634 Å
α = 60.00°, β = 60.00°, γ = 60.00°
With the nearest neighbours (Å) after each atom.
Fractional coordinates of all 3 atoms:
Y (0.0000, 0.0000, 0.0000)  4 Ge 2.98
Er (0.5000, 0.5000, 0.5000)  4 Ge 2.98
Ge (0.2500, 0.2500, 0.2500)  4 Er 2.98, 4 Y 2.98

Results
Energy of formation ... -1.64 eV per formula unit
VASP energy ... -17.28 eV for the cell shown
E above lowest polymorph ... 0.104 eV per atom


2.
This record from Alexandria via LeMat-Bulk describes an optimized crystal structure of YErGe. The functional is GGA-PBE.

a = 6.1946 Å, b = 6.4366 Å, c = 7.9223 Å
α = 89.99°, β = 89.90°, γ = 89.99°
With the nearest neighbours (Å) after each atom.
Fractional coordinates of all 12 atoms:
Y (0.1152, 0.0005, 0.2530)  4 Ge 2.94-2.97, 2 Er 3.21-3.22
Y (0.3798, 0.7480, 0.8992)  2 Ge 2.93-2.94
Y (0.6202, 0.2520, 0.1008)  2 Ge 2.93-2.94
Y (0.8848, 0.9995, 0.7470)  4 Ge 2.94-2.97, 2 Er 3.21-3.22
Er (0.1168, 0.4996, 0.2528)  4 Ge 2.93-2.95, 2 Y 3.21-3.22
Er (0.3813, 0.2528, 0.6058)  2 Ge 2.91-2.93
Er (0.6187, 0.7472, 0.3942)  2 Ge 2.91-2.93
Er (0.8832, 0.5004, 0.7472)  4 Ge 2.93-2.95, 2 Y 3.21-3.22
Ge (0.1895, 0.2531, 0.9440)  3 Er 2.93-2.95, 3 Y 2.94-2.97
Ge (0.1980, 0.7467, 0.5575)  3 Er 2.91-2.94, 3 Y 2.93-2.96
Ge (0.8020, 0.2533, 0.4425)  3 Er 2.91-2.94, 3 Y 2.93-2.96
Ge (0.8105, 0.7469, 0.0560)  3 Er 2.93-2.95, 3 Y 2.94-2.97

Results
Energy of formation ... -1.95 eV per formula unit
VASP energy ... -70.36 eV for the cell shown
E above lowest polymorph ... 0.000 eV per atom


3.
This record from Alexandria via LeMat-Bulk describes an optimized crystal structure of YErZnGe. The functional is GGA-PBE.

a = 5.0025 Å, b = 5.0025 Å, c = 5.0025 Å
α = 60.00°, β = 60.00°, γ = 60.00°
With the nearest neighbours (Å) after each atom.
Fractional coordinates of all 4 atoms:
Y (0.0000, 0.0000, 0.0000)  4 Ge 3.06, 4 Zn 3.06
Er (0.5000, 0.5000, 0.5000)  4 Zn 3.06, 4 Ge 3.06
Zn (0.2500, 0.2500, 0.2500)  4 Er 3.06, 4 Y 3.06
Ge (0.7500, 0.7500, 0.7500)  4 Er 3.06, 4 Y 3.06

Results
Energy of formation ... -2.12 eV per formula unit
VASP energy ... -19.04 eV for the cell shown
E above lowest polymorph ... 0.107 eV per atom


4.
This record from Alexandria via LeMat-Bulk describes an optimized crystal structure of YErZnGe. The functional is GGA-PBE.

a = 4.0950 Å, b = 5.8019 Å, c = 5.8019 Å
α = 42.26°, β = 90.00°, γ = 90.00°
With the nearest neighbours (Å) after each atom.
Fractional coordinates of all 4 atoms:
Y (0.0000, 0.0000, 0.0000)  4 Zn 3.01, 3 Ge 3.04-3.16
Er (0.5000, 0.2818, 0.2818)  4 Ge 3.00, 3 Zn 3.08-3.13
Zn (0.5000, 0.5666, 0.5666)  2 Ge 2.63
Ge (0.0000, 0.7192, 0.7192)  2 Zn 2.63

Results
Energy of formation ... -2.55 eV per formula unit
VASP energy ... -19.47 eV for the cell shown
E above lowest polymorph ... 0.000 eV per atom


Q: What is the VASP energy in the second record?
A: -70.36 eV for the cell shown